1.
{"formula": "Be3CoSn", "functional": "PBE", "state": "relaxed", "total_energy_ev_per_fu": -14.167, "dos_ef_per_ev_cell": 3.88, "formation_energy_ev_per_atom": 1.624, "crystal_system": "cubic", "cell": [[4.504, 0.000, 0.000], [0.000, 4.504, 0.000], [0.000, 0.000, 4.504]], "species": ["Be", "Be", "Be", "Co", "Sn"], "fractional_positions": [[0.000, 0.000, 0.500], [0.000, 0.500, 0.000], [0.500, 0.000, 0.000], [0.500, 0.500, 0.500], [0.000, 0.000, 0.000]]}

2.
{"formula": "BeCo2Sn2", "functional": "PBE", "state": "relaxed", "total_energy_ev_per_fu": -25.470, "dos_ef_per_ev_cell": 2.85, "formation_energy_ev_per_atom": 0.095, "crystal_system": "tetragonal", "cell": [[6.161, 0.000, 0.000], [0.000, 6.161, 0.000], [0.000, 0.000, 3.885]], "species": ["Be", "Be", "Co", "Co", "Co", "Co", "Sn", "Sn", "Sn", "Sn"], "fractional_positions": [[0.000, 0.000, 0.000], [0.500, 0.500, 0.000], [0.148, 0.352, 0.000], [0.352, 0.852, 0.000], [0.648, 0.148, 0.000], [0.852, 0.648, 0.000], [0.166, 0.666, 0.500], [0.334, 0.166, 0.500], [0.666, 0.834, 0.500], [0.834, 0.334, 0.500]]}

3.
{"formula": "Be3CoSn", "functional": "PBE", "state": "relaxed", "total_energy_ev_per_fu": -20.038, "dos_ef_per_ev_cell": 1.67, "formation_energy_ev_per_atom": 0.450, "crystal_system": "cubic", "cell": [[4.070, 0.000, 0.000], [0.000, 4.070, 0.000], [0.000, 0.000, 4.070]], "species": ["Be", "Be", "Be", "Co", "Sn"], "fractional_positions": [[0.000, 0.000, 0.500], [0.000, 0.500, 0.000], [0.500, 0.000, 0.000], [0.000, 0.000, 0.000], [0.500, 0.500, 0.500]]}

4.
{"formula": "BeCoSn2", "functional": "PBE", "state": "relaxed", "total_energy_ev_per_fu": -16.347, "dos_ef_per_ev_cell": 5.24, "formation_energy_ev_per_atom": 0.623, "crystal_system": "tetragonal", "cell": [[-3.389, 3.389, 3.334], [3.389, -3.389, 3.334], [3.389, 3.389, -3.334]], "species": ["Be", "Be", "Co", "Co", "Sn", "Sn", "Sn", "Sn"], "fractional_positions": [[0.000, 0.000, 0.000], [0.750, 0.250, 0.500], [0.250, 0.750, 0.500], [0.500, 0.500, 0.000], [0.119, 0.625, 0.994], [0.375, 0.369, 0.494], [0.631, 0.125, 0.006], [0.875, 0.881, 0.506]]}

5.
{"formula": "ZrBe2CoSn", "functional": "PBE", "state": "relaxed", "total_energy_ev_per_fu": -20.145, "dos_ef_per_ev_cell": 5.89, "formation_energy_ev_per_atom": 1.393, "crystal_system": "tetragonal", "cell": [[4.757, 0.000, 0.000], [0.000, 4.757, 0.000], [0.000, 0.000, 4.550]], "species": ["Zr", "Be", "Be", "Co", "Sn"], "fractional_positions": [[0.000, 0.000, 0.000], [0.000, 0.500, 0.000], [0.500, 0.000, 0.000], [0.000, 0.000, 0.500], [0.500, 0.500, 0.500]]}

6.
{"formula": "SrBe2Co2", "functional": "PBE", "state": "relaxed", "total_energy_ev_per_fu": -22.011, "dos_ef_per_ev_cell": 3.48, "formation_energy_ev_per_atom": 0.267, "crystal_system": "tetragonal", "cell": [[-1.979, 1.979, 4.601], [1.979, -1.979, 4.601], [1.979, 1.979, -4.601]], "species": ["Sr", "Be", "Be", "Co", "Co"], "fractional_positions": [[0.000, 0.000, 0.000], [0.250, 0.750, 0.500], [0.750, 0.250, 0.500], [0.370, 0.370, 0.000], [0.630, 0.630, 0.000]]}

7.
{"formula": "Sr2BeCo", "functional": "PBE", "state": "relaxed", "total_energy_ev_per_fu": -13.022, "dos_ef_per_ev_cell": 4.01, "formation_energy_ev_per_atom": 0.293, "crystal_system": "orthorhombic", "cell": [[-1.971, 2.137, 7.129], [1.971, -2.137, 7.129], [1.971, 2.137, -7.129]], "species": ["Sr", "Sr", "Be", "Co"], "fractional_positions": [[0.000, 0.000, 0.000], [0.759, 0.259, 0.500], [0.348, 0.848, 0.500], [0.401, 0.401, 0.000]]}

8.
{"formula": "Sr2BeCo", "functional": "PBE", "state": "relaxed", "total_energy_ev_per_fu": -10.556, "dos_ef_per_ev_cell": 6.20, "formation_energy_ev_per_atom": 0.910, "crystal_system": "tetragonal", "cell": [[-4.057, 4.057, 3.065], [4.057, -4.057, 3.065], [4.057, 4.057, -3.065]], "species": ["Sr", "Sr", "Sr", "Sr", "Be", "Be", "Co", "Co"], "fractional_positions": [[0.092, 0.625, 0.967], [0.375, 0.342, 0.467], [0.658, 0.125, 0.033], [0.875, 0.908, 0.533], [0.250, 0.750, 0.500], [0.500, 0.500, 0.000], [0.000, 0.000, 0.000], [0.750, 0.250, 0.500]]}

9.
{"formula": "Sr2BeCo", "functional": "PBE", "state": "relaxed", "total_energy_ev_per_fu": -10.978, "dos_ef_per_ev_cell": 7.75, "formation_energy_ev_per_atom": 0.804, "crystal_system": "cubic", "cell": [[0.000, 3.565, 3.565], [3.565, 0.000, 3.565], [3.565, 3.565, 0.000]], "species": ["Sr", "Sr", "Be", "Co"], "fractional_positions": [[0.000, 0.000, 0.000], [0.250, 0.250, 0.250], [0.500, 0.500, 0.500], [0.750, 0.750, 0.750]]}

10.
{"formula": "Sr2BeCo", "functional": "PBE", "state": "relaxed", "total_energy_ev_per_fu": -12.614, "dos_ef_per_ev_cell": 3.13, "formation_energy_ev_per_atom": 0.395, "crystal_system": "tetragonal", "cell": [[3.345, 0.000, 0.000], [0.000, 3.345, 0.000], [0.000, 0.000, 8.658]], "species": ["Sr", "Sr", "Be", "Co"], "fractional_positions": [[0.000, 0.000, 0.000], [0.500, 0.500, 0.420], [0.000, 0.000, 0.677], [0.500, 0.500, 0.738]]}

11.
{"formula": "Sr2BeCo", "functional": "PBE", "state": "relaxed", "total_energy_ev_per_fu": -13.170, "dos_ef_per_ev_cell": 3.18, "formation_energy_ev_per_atom": 0.256, "crystal_system": "orthorhombic", "cell": [[4.011, 0.000, 0.000], [0.000, 2.240, 5.967], [0.000, -2.240, 5.967]], "species": ["Sr", "Sr", "Be", "Co"], "fractional_positions": [[0.000, 0.000, 0.000], [0.500, 0.272, 0.272], [0.000, 0.675, 0.675], [0.500, 0.605, 0.605]]}

12.
{"formula": "Sr2BeCo", "functional": "PBE", "state": "relaxed", "total_energy_ev_per_fu": -11.095, "dos_ef_per_ev_cell": 4.01, "formation_energy_ev_per_atom": 0.775, "crystal_system": "tetragonal", "cell": [[-2.250, 2.250, 4.888], [2.250, -2.250, 4.888], [2.250, 2.250, -4.888]], "species": ["Sr", "Sr", "Be", "Co"], "fractional_positions": [[0.000, 0.000, 0.000], [0.750, 0.250, 0.500], [0.250, 0.750, 0.500], [0.500, 0.500, 0.000]]}

> What is the formula in the tenth record?

Sr2BeCo